Sc3Rh | PBEsol | relaxed

abc: 3.170 4.288 5.902
angles: 90.00 105.03 90.00
Fractional positions:
Sc1 0.604 0.500 0.775
Sc2 0.000 0.000 0.500
Sc3 0.396 0.500 0.225
Rh1 0.000 0.000 0.000

Values from the calculation:
Energy of formation from the pure elements, kcal/mol of atoms: -7.82
Raw total energy, eV/atom: -7.327
Space group: No. 10